#one
Material: DyUSe2
Method: DFT, PBE
State: optimized geometry

Geometry as POSCAR:
```
DyUSe2
1.0
-1.116 -3.431 1.530
0.984 -3.351 -1.778
7.671 -2.590 4.805
Dy Se U
1 2 1
Direct
0.000 0.000 0.000 Dy
0.102 0.102 0.694 Se
0.898 0.898 0.306 Se
0.500 0.500 0.500 U
```

**Size of the total moment**: 3.059 μB/cell
**Calculated density**: 7.63 g cm⁻³
**Symmetry**: No. 166

=====

#two
Material: DyUSe2
Method: DFT, PBE
State: optimized geometry

Geometry as POSCAR:
```
DyUSe2
1.0
-3.229 1.963 -0.917
-2.264 -1.233 -2.910
-5.685 -3.879 3.470
Se U Dy
2 1 1
Direct
0.253 0.253 0.242 Se
0.081 0.081 0.758 Se
0.496 0.496 0.511 U
0.670 0.670 0.989 Dy
```

**Size of the total moment**: 3.274 μB/cell
**Calculated density**: 9.60 g cm⁻³
**Symmetry**: No. 160

=====

Least stable of them? #one.